La2SmCd | PBE-GGA | relaxed

abc: 3.7188 3.7188 11.4621
angles: 80.66 80.66 60.00
Atoms (fractional coordinates):
La: 0.0785 0.0785 0.7646
La: 0.2550 0.2550 0.2350
Cd: 0.6669 0.6669 0.9992
Sm: 0.4996 0.4996 0.5012

Energy above the most stable polymorph in this dataset, meV/atom: 106.0
ΔH_f (0 K), eV/atom: -0.053
Space group: No. 160
Volume, Å³/f.u.: 134.8
Magnetic moment, Bohr magnetons per cell: 0.0

La8Sm2Cd | PBE-GGA | relaxed

abc: 6.1999 10.3808 10.3808
angles: 38.75 67.26 67.26
Atoms (fractional coordinates):
La: 0.6766 0.9026 0.9026
La: 0.3275 0.1096 0.5828
La: 0.7892 0.4645 0.4645
La: 0.3234 0.0974 0.0974
La: 0.3275 0.5828 0.1096
La: 0.2108 0.5355 0.5355
La: 0.6725 0.8904 0.4172
La: 0.6725 0.4172 0.8904
Sm: 0.0912 0.7218 0.7218
Sm: 0.9088 0.2782 0.2782
Cd: 0.0000 0.0000 0.0000

Energy above the most stable polymorph in this dataset, meV/atom: 72.5
ΔH_f (0 K), eV/atom: 0.044
Space group: No. 12
Volume, Å³/f.u.: 381.5
Magnetic moment, Bohr magnetons per cell: 0.0

La6Sm4Cd | PBE-GGA | relaxed

abc: 9.5620 9.5620 9.5620
angles: 59.54 138.89 138.89
Atoms (fractional coordinates):
Cd: 0.0000 0.0000 0.0000
Sm: 0.0000 0.9974 0.6400
Sm: 0.6426 0.0026 0.0026
Sm: 0.3574 0.3600 0.3600
Sm: 0.0000 0.6400 0.9974
La: 0.0000 0.4579 0.7767
La: 0.0000 0.7767 0.4579
La: 0.3188 0.5421 0.5421
La: 0.5000 0.5000 0.0000
La: 0.5000 0.0000 0.5000
La: 0.6812 0.2233 0.2233

ΔH_f (0 K), eV/atom: 0.163
Space group: No. 121
Volume, Å³/f.u.: 374.2
Magnetic moment, Bohr magnetons per cell: 0.0